Computed, not measured: an optimized crystal structure of BaTe at the PBE level of DFT.

```
BaTe
1.0
4.6732 -2.9040 7.7197
6.6110 1.1063 6.7034
0.2202 2.1637 8.9578
Ba Te
3 3
direct
0.3623 0.3623 0.9440
0.5309 0.5309 0.2476
0.6731 0.6731 0.6231
0.9376 0.9376 0.1004
0.0795 0.0795 0.4738
0.2498 0.2498 0.7778
```

Summary:
**Space-group type**: Cm
**D(E_F)**: 0.00 states/eV per atom
**Raw total energy**: -4.176 eV per atom

***

Computed, not measured: an optimized crystal structure of Ba2Te at the PBE level of DFT.

```
Ba2Te
1.0
-1.4932 2.5120 3.8605
-2.7440 -6.7612 3.3380
7.5378 -1.2260 3.7132
Ba Te
4 2
direct
0.0000 0.2460 0.6671
0.0000 0.7540 0.3329
0.5000 0.7460 0.8329
0.5000 0.2540 0.1671
0.0000 0.0000 0.0000
0.5000 0.5000 0.5000
```

Summary:
**Space-group type**: Pnnm
**D(E_F)**: 1.19 states/eV per atom
**Raw total energy**: -3.359 eV per atom

***

Computed, not measured: an optimized crystal structure of BaTe2 at the PBE level of DFT.

```
BaTe2
1.0
4.6399 -0.1500 0.8273
-0.3087 4.3372 1.8382
0.3240 0.7736 6.4219
Ba Te
1 2
direct
0.0000 0.0000 0.0000
0.5669 0.7095 0.7253
0.4331 0.2905 0.2747
```

Summary:
**Space-group type**: P-1
**D(E_F)**: 0.09 states/eV per atom
**Raw total energy**: -3.877 eV per atom

***

Computed, not measured: an optimized crystal structure of Ba2Te at the PBE level of DFT.

```
Ba2Te
1.0
5.7318 3.6998 -7.1515
-6.6588 1.0133 7.2332
5.2349 0.9484 4.6863
Ba Te
4 2
direct
0.6750 0.3250 0.7500
0.9359 0.0641 0.7500
0.0641 0.9359 0.2500
0.3250 0.6750 0.2500
0.3065 0.6935 0.7500
0.6935 0.3065 0.2500
```

Summary:
**Space-group type**: Cmcm
**D(E_F)**: 0.77 states/eV per atom
**Raw total energy**: -3.391 eV per atom

***

Computed, not measured: an optimized crystal structure of Ba3Te2 at the PBE level of DFT.

```
Ba3Te2
1.0
0.3021 4.9685 -3.1180
-1.2166 0.2060 5.7426
7.1095 0.5016 1.4883
Ba Te
3 2
direct
0.0000 0.0000 0.0000
0.6667 0.3333 0.6794
0.3333 0.6667 0.3206
0.6667 0.3333 0.1935
0.3333 0.6667 0.8065
```

Summary:
**Space-group type**: P-3m1
**D(E_F)**: 0.90 states/eV per atom
**Raw total energy**: -3.659 eV per atom

***

Computed, not measured: an optimized crystal structure of BaTe2 at the PBE level of DFT.

```
BaTe2
1.0
3.0325 -5.2524 0.0000
3.0325 5.2524 0.0000
0.0000 0.0000 6.8456
Ba Te
2 4
direct
0.3333 0.6667 0.2500
0.6667 0.3333 0.7500
0.0000 0.0000 0.0000
0.0000 0.0000 0.5000
0.3333 0.6667 0.7500
0.6667 0.3333 0.2500
```

Summary:
**Space-group type**: P6_3/mmc
**D(E_F)**: 1.34 states/eV per atom
**Raw total energy**: -3.668 eV per atom

***

Computed, not measured: an optimized crystal structure of BaTe at the PBE level of DFT.

```
BaTe
1.0
7.8553 -0.0197 -0.0604
4.8301 6.1949 0.0604
-6.2983 -3.1788 3.4549
Ba Te
2 2
direct
0.0018 0.0018 0.0000
0.7482 0.2482 0.5000
0.5009 0.5009 0.0000
0.2491 0.7491 0.5000
```

Summary:
**Space-group type**: Imma
**Raw total energy**: -3.995 eV per atom

***

Computed, not measured: an optimized crystal structure of BaThTe2 at the PBE level of DFT.

```
BaThTe2
1.0
-4.2158 1.7878 0.1105
-3.2196 -1.5472 -2.8673
-4.6718 -5.4279 4.5161
Te Ba Th
2 1 1
direct
0.2583 0.2583 0.2250
0.7417 0.7417 0.7750
0.5000 0.5000 0.5000
0.0000 0.0000 0.0000
```

Summary:
**Space-group type**: R-3m
**D(E_F)**: 0.72 states/eV per atom
**Raw total energy**: -5.231 eV per atom

***

Copy entry 3 word for word.
Computed, not measured: an optimized crystal structure of BaTe2 at the PBE level of DFT.

```
BaTe2
1.0
4.6399 -0.1500 0.8273
-0.3087 4.3372 1.8382
0.3240 0.7736 6.4219
Ba Te
1 2
direct
0.0000 0.0000 0.0000
0.5669 0.7095 0.7253
0.4331 0.2905 0.2747
```

Summary:
**Space-group type**: P-1
**D(E_F)**: 0.09 states/eV per atom
**Raw total energy**: -3.877 eV per atom

***

raw total energy of number 1 (BaTe)?
-4.176 eV per atom

***

raw total energy of number 8 (BaThTe2)?
-5.231 eV per atom

***

raw total energy of number 8 (BaThTe2)?
-5.231 eV per atom